w.
This record from OQMD via LeMat-Bulk describes an optimized crystal structure of PrLu. The functional is PBE.

Space group: F-43m (216)

a b c (Å): 4.974 4.974 4.974
angles (deg): 60.00 60.00 60.00
Fractional positions:
Lu 0.000 0.000 0.000
Pr 0.250 0.250 0.250



x.
This record from OQMD via LeMat-Bulk describes an optimized crystal structure of PrLu. The functional is PBE.

Space group: Fm-3m (225)

a b c (Å): 4.587 4.587 4.587
angles (deg): 60.00 60.00 60.00
Fractional positions:
Lu 0.000 0.000 0.000
Pr 0.500 0.500 0.500



x has the most favorable energy; the next structure is 1024 meV per atom above.



w.
This record from OQMD via LeMat-Bulk describes an optimized crystal structure of PrLuRe. The functional is PBE.

Space group: F-43m (216)

a b c (Å): 4.801 4.801 4.801
angles (deg): 60.00 60.00 60.00
Fractional positions:
Lu 0.000 0.000 0.000
Pr 0.250 0.250 0.250
Re 0.750 0.750 0.750



x.
This record from OQMD via LeMat-Bulk describes an optimized crystal structure of PrLuRe. The functional is PBE.

Space group: P4/nmm (129)

a b c (Å): 4.419 4.419 7.687
angles (deg): 90.00 90.00 90.00
Fractional positions:
Re 0.000 0.500 0.757
Re 0.500 0.000 0.243
Lu 0.000 0.000 0.000
Lu 0.500 0.500 0.000
Pr 0.500 0.000 0.631
Pr 0.000 0.500 0.369



x has the most favorable energy; the next structure is 851 meV per atom above.



w.
This record from OQMD via LeMat-Bulk describes an optimized crystal structure of RbLuPt. The functional is PBE.

Space group: F-43m (216)

a b c (Å): 5.043 5.043 5.043
angles (deg): 60.00 60.00 60.00
Fractional positions:
Pt 0.000 0.000 0.000
Lu 0.250 0.250 0.250
Rb 0.750 0.750 0.750



x.
This record from OQMD via LeMat-Bulk describes an optimized crystal structure of RbLuPt. The functional is PBE.

Space group: F-43m (216)

a b c (Å): 4.972 4.972 4.972
angles (deg): 60.00 60.00 60.00
Fractional positions:
Lu 0.250 0.250 0.250
Rb 0.000 0.000 0.000
Pt 0.750 0.750 0.750



w has the most favorable energy; the next structure is 929 meV per atom above.



w.
This record from OQMD via LeMat-Bulk describes an optimized crystal structure of TbLuPt2. The functional is PBE.

Space group: Pmn2_1 (31)

a b c (Å): 4.480 6.961 5.527
angles (deg): 90.00 90.00 90.00
Fractional positions:
Tb 0.000 0.569 0.142
Tb 0.500 0.431 0.642
Pt 0.500 0.283 0.157
Pt 0.500 0.805 0.343
Pt 0.000 0.717 0.657
Pt 0.000 0.195 0.843
Lu 0.000 0.068 0.358
Lu 0.500 0.932 0.858



x.
This record from OQMD via LeMat-Bulk describes an optimized crystal structure of TbLuPt2. The functional is PBE.

Space group: Pmc2_1 (26)

a b c (Å): 4.475 5.539 6.958
angles (deg): 90.00 90.00 90.00
Fractional positions:
Pt 0.000 0.096 0.456
Pt 0.500 0.592 0.045
Pt 0.500 0.408 0.545
Pt 0.000 0.904 0.956
Lu 0.000 0.391 0.818
Lu 0.000 0.609 0.318
Tb 0.500 0.890 0.681
Tb 0.500 0.110 0.181



w has the most favorable energy; the next structure is 6 meV per atom above.



w.
This record from OQMD via LeMat-Bulk describes an optimized crystal structure of LuTcPt. The functional is PBE.

Space group: F-43m (216)

a b c (Å): 4.495 4.495 4.495
angles (deg): 60.00 60.00 60.00
Fractional positions:
Lu 0.250 0.250 0.250
Pt 0.000 0.000 0.000
Tc 0.750 0.750 0.750



x.
This record from OQMD via LeMat-Bulk describes an optimized crystal structure of LuTcPt. The functional is PBE.

Space group: F-43m (216)

a b c (Å): 4.473 4.473 4.473
angles (deg): 60.00 60.00 60.00
Fractional positions:
Tc 0.750 0.750 0.750
Pt 0.250 0.250 0.250
Lu 0.000 0.000 0.000



w has the most favorable energy; the next structure is 505 meV per atom above.



w.
This record from OQMD via LeMat-Bulk describes an optimized crystal structure of LuTlTe3Pt. The functional is PBE.

Space group: P2_1/m (11)

a b c (Å): 8.849 4.115 11.019
angles (deg): 90.00 112.29 90.00
Fractional positions:
Tl 0.277 0.750 0.294
Tl 0.723 0.250 0.706
Te 0.784 0.750 0.467
Te 0.438 0.250 0.136
Te 0.950 0.250 0.152
Te 0.216 0.250 0.533
Te 0.050 0.750 0.848
Te 0.562 0.750 0.864
Pt 0.105 0.750 0.627
Pt 0.895 0.250 0.373
Lu 0.301 0.250 0.843
Lu 0.699 0.750 0.157



x.
This record from OQMD via LeMat-Bulk describes an optimized crystal structure of LuTlTe3Pt. The functional is PBE.

Space group: Cmcm (63)

a b c (Å): 8.430 8.430 10.455
angles (deg): 90.00 90.00 151.76
Fractional positions:
Te 0.630 0.370 0.567
Te 0.089 0.911 0.250
Te 0.370 0.630 0.433
Te 0.630 0.370 0.933
Te 0.911 0.089 0.750
Te 0.370 0.630 0.067
Lu 0.000 0.000 0.500
Lu 0.000 0.000 0.000
Pt 0.516 0.484 0.750
Pt 0.484 0.516 0.250
Tl 0.241 0.759 0.750
Tl 0.759 0.241 0.250



x has the most favorable energy; the next structure is 12 meV per atom above.



w.
This record from OQMD via LeMat-Bulk describes an optimized crystal structure of Tm3Lu3Te2Pt. The functional is PBE.

Space group: P-62m (189)

a b c (Å): 8.263 8.263 3.896
angles (deg): 90.00 90.00 120.00
Fractional positions:
Te 0.667 0.333 0.500
Te 0.333 0.667 0.500
Tm 0.396 0.396 0.000
Tm 0.000 0.604 0.000
Tm 0.604 0.000 0.000
Lu 0.245 0.000 0.500
Lu 0.000 0.245 0.500
Lu 0.755 0.755 0.500
Pt 0.000 0.000 0.000



x.
This record from OQMD via LeMat-Bulk describes an optimized crystal structure of Tm3Lu3Te2Pt. The functional is PBE.

Space group: P-62m (189)

a b c (Å): 8.281 8.281 3.897
angles (deg): 90.00 90.00 120.00
Each line ends with the local moment (μB).
Fractional positions:
Te 0.667 0.333 0.500  0.00
Te 0.333 0.667 0.500  0.00
Lu 0.604 0.000 0.000  0.05
Lu 0.000 0.604 0.000  0.03
Lu 0.396 0.396 0.000  0.05
Tm 0.754 0.754 0.500  0.05
Tm 0.000 0.246 0.500  0.05
Tm 0.246 0.000 0.500  0.05
Pt 0.000 0.000 0.000  0.01



w has the most favorable energy; the next structure is 27 meV per atom above.



w.
This record from OQMD via LeMat-Bulk describes an optimized crystal structure of Lu2ZnPt. The functional is PBE.

Space group: P6_3/mmc (194)

a b c (Å): 4.017 4.017 13.815
angles (deg): 90.00 90.00 120.00
Fractional positions:
Lu 0.333 0.667 0.609
Lu 0.333 0.667 0.891
Lu 0.667 0.333 0.109
Lu 0.667 0.333 0.391
Zn 0.333 0.667 0.250
Zn 0.667 0.333 0.750
Pt 0.000 0.000 0.000
Pt 0.000 0.000 0.500



x.
This record from OQMD via LeMat-Bulk describes an optimized crystal structure of Lu2ZnPt. The functional is PBE.

Space group: P6_3/mmc (194)

a b c (Å): 4.108 4.108 12.402
angles (deg): 90.00 90.00 120.00
Fractional positions:
Lu 0.667 0.333 0.125
Lu 0.333 0.667 0.625
Lu 0.333 0.667 0.875
Lu 0.667 0.333 0.375
Pt 0.333 0.667 0.250
Pt 0.667 0.333 0.750
Zn 0.000 0.000 0.500
Zn 0.000 0.000 0.000



y.
This record from OQMD via LeMat-Bulk describes an optimized crystal structure of Lu2ZnPt. The functional is PBE.

Space group: F-43m (216)

a b c (Å): 4.746 4.746 4.746
angles (deg): 60.00 60.00 60.00
Fractional positions:
Zn 0.500 0.500 0.500
Pt 0.250 0.250 0.250
Lu 0.750 0.750 0.750
Lu 0.000 0.000 0.000



w has the most favorable energy; the next structure is 77 meV per atom above.



w.
This record from OQMD via LeMat-Bulk describes an optimized crystal structure of RbLuTa. The functional is PBE.

Space group: F-43m (216)

a b c (Å): 5.103 5.103 5.103
angles (deg): 60.00 60.00 60.00
Fractional positions:
Lu 0.250 0.250 0.250
Ta 0.750 0.750 0.750
Rb 0.000 0.000 0.000



x.
This record from OQMD via LeMat-Bulk describes an optimized crystal structure of RbLuTa. The functional is PBE.

Space group: F-43m (216)

a b c (Å): 5.484 5.484 5.484
angles (deg): 60.00 60.00 60.00
Fractional positions:
Rb 0.750 0.750 0.750
Lu 0.250 0.250 0.250
Ta 0.000 0.000 0.000



x has the most favorable energy; the next structure is 534 meV per atom above.



w.
This record from OQMD via LeMat-Bulk describes an optimized crystal structure of RbLuTc. The functional is PBE.

Space group: F-43m (216)

a b c (Å): 5.081 5.081 5.081
angles (deg): 60.00 60.00 60.00
Fractional positions:
Rb 0.000 0.000 0.000
Lu 0.250 0.250 0.250
Tc 0.750 0.750 0.750



x.
This record from OQMD via LeMat-Bulk describes an optimized crystal structure of RbLuTc. The functional is PBE.

Space group: F-43m (216)

a b c (Å): 5.037 5.037 5.037
angles (deg): 60.00 60.00 60.00
Fractional positions:
Tc 0.000 0.000 0.000
Rb 0.750 0.750 0.750
Lu 0.250 0.250 0.250



x has the most favorable energy; the next structure is 623 meV per atom above.



w.
This record from OQMD via LeMat-Bulk describes an optimized crystal structure of LuReSn. The functional is PBE.

Space group: F-43m (216)

a b c (Å): 4.630 4.630 4.630
angles (deg): 60.00 60.00 60.00
Fractional positions:
Re 0.000 0.000 0.000
Sn 0.750 0.750 0.750
Lu 0.250 0.250 0.250



x.
This record from OQMD via LeMat-Bulk describes an optimized crystal structure of LuReSn. The functional is PBE.

Space group: F-43m (216)

a b c (Å): 4.717 4.717 4.717
angles (deg): 60.00 60.00 60.00
Fractional positions:
Re 0.250 0.250 0.250
Sn 0.750 0.750 0.750
Lu 0.000 0.000 0.000



w has the most favorable energy; the next structure is 773 meV per atom above.



w.
This record from OQMD via LeMat-Bulk describes an optimized crystal structure of LuZnRe. The functional is PBE.

Space group: F-43m (216)

a b c (Å): 4.518 4.518 4.518
angles (deg): 60.00 60.00 60.00
Fractional positions:
Lu 0.250 0.250 0.250
Zn 0.750 0.750 0.750
Re 0.000 0.000 0.000



x.
This record from OQMD via LeMat-Bulk describes an optimized crystal structure of LuZnRe. The functional is PBE.

Space group: F-43m (216)

a b c (Å): 4.581 4.581 4.581
angles (deg): 60.00 60.00 60.00
Fractional positions:
Re 0.250 0.250 0.250
Lu 0.000 0.000 0.000
Zn 0.750 0.750 0.750



w has the most favorable energy; the next structure is 456 meV per atom above.